1.
## BePCl3 (PBE)

Data for an optimized crystal structure of BePCl3.

Summary:
- V (Å³/atom) = 22.91
- E_form (uncorrected) (eV per atom) = 0.4038
- uncorrected energy (eV per atom) = -2.53
- E above lowest polymorph (eV/atom) = 0.370
- SG = No. 221
- N(E_F) (states/eV per atom) = 0.49
- density (Mg/m³) = 2.121

```
BePCl3
1.0
4.857 0.000 0.000
0.000 4.857 0.000
0.000 0.000 4.857
P Be Cl
1 1 3
direct
0.000 0.000 0.000
0.500 0.500 0.500
0.000 0.500 0.000
0.000 0.000 0.500
0.500 0.000 0.000
```



2.
## Zn2TePt (PBE)

Data for an optimized crystal structure of Zn2TePt.

Summary:
- V (Å³/atom) = 20.29
- E_form (uncorrected) (eV per atom) = -0.0558
- uncorrected energy (eV per atom) = -2.99
- SG = No. 166
- N(E_F) (states/eV per atom) = 0.24
- density (Mg/m³) = 9.280

```
Zn2TePt
1.0
-4.456 1.460 4.999
-3.246 -2.078 5.667
-1.111 0.888 6.705
Pt Te Zn
1 1 2
direct
0.250 0.250 0.250
0.750 0.750 0.750
0.986 0.986 0.986
0.514 0.514 0.514
```



3.
## Na2Hg3S4 (PBE)

Data for an optimized crystal structure of Na2Hg3S4.

Summary:
- V (Å³/atom) = 25.12
- E_form (uncorrected) (eV per atom) = -0.4849
- uncorrected energy (eV per atom) = -2.71
- E above lowest polymorph (eV/atom) = 0.000
- SG = No. 61
- density (Mg/m³) = 5.700

```
Na2Hg3S4
1.0
-1.089 4.117 -6.247
-8.305 -0.109 1.376
1.113 11.914 7.658
Na Hg S
8 12 16
direct
0.435 0.618 0.607
0.935 0.382 0.893
0.065 0.118 0.393
0.565 0.882 0.107
0.565 0.382 0.393
0.065 0.618 0.107
0.935 0.882 0.607
0.435 0.118 0.893
0.269 0.777 0.307
0.769 0.223 0.193
0.231 0.277 0.693
0.731 0.723 0.807
0.731 0.223 0.693
0.231 0.777 0.807
0.769 0.723 0.307
0.269 0.277 0.193
0.500 0.000 0.500
0.000 0.000 0.000
0.000 0.500 0.500
0.500 0.500 0.000
0.739 0.654 0.484
0.239 0.346 0.016
0.761 0.154 0.516
0.261 0.846 0.984
0.261 0.346 0.516
0.761 0.654 0.984
0.239 0.846 0.484
0.739 0.154 0.016
0.509 0.894 0.732
0.009 0.106 0.768
0.991 0.394 0.268
0.491 0.606 0.232
0.491 0.106 0.268
0.991 0.894 0.232
0.009 0.606 0.732
0.509 0.394 0.768
```



4.
## Pr3Tl2BRh3 (PBE)

Data for an optimized crystal structure of Pr3Tl2BRh3.

Summary:
- V (Å³/atom) = 22.24
- E_form (kJ per mole of atoms) = -32.2
- uncorrected energy (eV per atom) = -5.65
- SG = No. 189
- N(E_F) (states/eV per atom) = 0.80
- density (Mg/m³) = 9.548

```
Pr3Tl2BRh3
1.0
3.708 0.000 0.000
0.000 7.895 0.000
0.000 -3.948 6.837
Pr Tl B Rh
3 2 1 3
direct
0.000 0.000 0.347
0.000 0.653 0.653
0.000 0.347 0.000
0.500 0.333 0.667
0.500 0.667 0.333
0.000 0.000 0.000
0.500 0.800 0.000
0.500 0.200 0.200
0.500 0.000 0.800
```



5.
## LiTmBi (PBE)

Data for an optimized crystal structure of LiTmBi.

Summary:
- V (Å³/atom) = 27.16
- E_form (kJ per mole of atoms) = -45.2
- uncorrected energy (eV per atom) = -3.89
- E above lowest polymorph (eV/atom) = 0.084
- SG = No. 69
- N(E_F) (states/eV per atom) = 0.55
- density (Mg/m³) = 7.845

```
LiTmBi
1.0
-0.709 -0.496 -4.287
-1.698 -3.968 0.710
-6.527 5.698 2.667
Li Tm Bi
2 2 2
direct
0.759 0.759 0.500
0.241 0.241 0.500
0.674 0.674 0.849
0.326 0.326 0.151
0.143 0.143 0.787
0.857 0.857 0.213
```



6.
## Rb2TiAsI6 (PBE)

Data for an optimized crystal structure of Rb2TiAsI6.

Summary:
- V (Å³/atom) = 42.81
- E_form (uncorrected) (eV per atom) = -0.6806
- uncorrected energy (eV per atom) = -3.06
- SG = No. 139
- N(E_F) (states/eV per atom) = 0.82
- density (Mg/m³) = 4.093

```
Rb2TiAsI6
1.0
-3.750 -6.534 -3.025
5.295 -0.192 -6.150
4.676 -7.215 -1.106
I As Rb Ti
6 1 2 1
direct
0.283 0.283 0.435
0.717 0.717 0.565
0.253 0.253 0.000
0.747 0.747 0.000
0.747 0.253 0.000
0.253 0.747 0.000
0.000 0.000 0.000
0.750 0.250 0.500
0.250 0.750 0.500
0.500 0.500 0.000
```



7.
## Pu3Zn2Hg3 (PBE)

Data for an optimized crystal structure of Pu3Zn2Hg3.

Summary:
- V (Å³/atom) = 22.83
- E_form (kJ per mole of atoms) = -1.8
- uncorrected energy (eV per atom) = -5.83
- SG = No. 71
- N(E_F) (states/eV per atom) = 4.40
- density (Mg/m³) = 13.316

```
Pu3Zn2Hg3
1.0
4.639 0.000 0.000
0.000 4.719 -0.122
-2.320 -2.145 8.397
Pu Zn Hg
3 2 3
direct
0.869 0.369 0.737
0.131 0.631 0.263
0.000 0.000 0.000
0.753 0.753 0.506
0.247 0.247 0.494
0.354 0.854 0.708
0.500 0.500 0.000
0.646 0.146 0.292
```



8.
## HS3F2 (PBE)

Data for an optimized crystal structure of HS3F2.

Summary:
- V (Å³/atom) = 22.52
- uncorrected energy (eV per atom) = -3.95
- SG = No. 2
- N(E_F) (states/eV per atom) = 0.00
- density (Mg/m³) = 1.661

```
HS3F2
1.0
5.478 -1.568 -5.283
-3.173 8.639 3.193
-6.486 4.045 12.675
H S F
2 6 4
direct
0.248 0.895 0.809
0.752 0.105 0.191
0.302 0.729 0.115
0.698 0.271 0.885
0.990 0.721 0.079
0.783 0.486 0.458
0.217 0.514 0.542
0.010 0.279 0.921
0.131 0.101 0.677
0.671 0.234 0.102
0.329 0.766 0.898
0.869 0.899 0.323
```